[1]
Entry from Alexandria via LeMat-Bulk: a geometry-optimized Ac6Rh2CI3 structure (PBE).

The structure in POSCAR format:
```
Ac6Rh2CI3
1.0
3.739 -6.474 0.000
3.739 6.474 0.000
-2.479 0.000 8.554
Ac Rh C I
6 2 1 3
direct
0.060 0.375 0.178
0.256 0.256 0.821
0.375 0.060 0.178
0.625 0.940 0.822
0.744 0.744 0.179
0.940 0.625 0.822
0.333 0.667 0.000
0.667 0.333 0.000
0.000 0.000 0.000
0.169 0.831 0.500
0.500 0.500 0.500
0.831 0.169 0.500
```

Output
magnetic moment	0.000	μB per cell
calculated total energy	-5.2651	eV per atom

---

[2]
Entry from Alexandria via LeMat-Bulk: a geometry-optimized ScTiCd structure (PBE).

The structure in POSCAR format:
```
ScTiCd
1.0
4.914 0.000 0.000
-2.457 4.256 0.000
0.000 0.000 2.923
Sc Ti Cd
1 1 1
direct
0.000 0.000 0.000
0.667 0.333 0.000
0.333 0.667 0.500
```

Output
magnetic moment	2.150	μB per cell
ΔH_f (0 K)	115	meV/atom
energy above the lowest structure with this stoichiometry	172.1	meV/atom

---

[3]
Entry from Alexandria via LeMat-Bulk: a geometry-optimized TiV3Co structure (PBE).

The structure in POSCAR format:
```
TiV3Co
1.0
4.334 0.000 0.000
0.000 4.334 0.000
0.000 0.000 4.334
Ti V Co
1 3 1
direct
0.000 0.000 0.000
0.000 0.000 0.500
0.000 0.500 0.000
0.500 0.000 0.000
0.500 0.500 0.500
```

Output
magnetic moment	3.750	μB per cell
ΔH_f (0 K)	1455	meV/atom
energy above the lowest structure with this stoichiometry	1503.1	meV/atom

---

Among the records above, which one has the highest magnetic moment? TiV3Co

---

What is the magnetic moment in the third record? 3.750 μB per cell